VASP calculation (GGA-PBE) on a geometry-optimized Cu2NiSe3 structure.

a b c (Å): 11.2478 6.5983 6.5410
angles (deg): 90.00 90.00 90.00
Closest atoms and distances in Å follow each position.
Space group Cmc2_1 (No. 36)
One atom of each set of equivalent atoms:
1 Cu 0.1660 0.1669 0.0000 (multiplicity 8)  4 Se 2.39-2.41
2 Ni 0.0000 0.3356 0.5035 (multiplicity 4)  4 Se 2.30-2.31
3 Se 0.0000 0.3473 0.8552 (multiplicity 4)  2 Ni 2.30-2.31, 2 Cu 2.41
4 Se 0.1609 0.1700 0.3647 (multiplicity 8)  1 Ni 2.30, 3 Cu 2.39

## Properties
**Energy above the lowest structure with this stoichiometry**: 19 meV per atom

***

VASP calculation (GGA-PBE) on a geometry-optimized CuNi5Se8 structure.

a b c (Å): 10.0680 10.0680 10.0680
angles (deg): 90.00 90.00 90.00
Closest atoms and distances in Å follow each position.
Space group F-43m (No. 216)
One atom of each set of equivalent atoms:
1 Cu 0.0000 0.0000 0.0000 (multiplicity 4)  4 Se 2.38
2 Ni 0.1247 0.1247 0.6247 (multiplicity 16)  6 Se 2.41-2.43
3 Ni 0.2500 0.2500 0.2500 (multiplicity 4)  4 Se 2.34
4 Se 0.1159 0.1159 0.3841 (multiplicity 16)  4 Ni 2.34-2.43
5 Se 0.1363 0.1363 0.8637 (multiplicity 16)  1 Cu 2.38, 3 Ni 2.41

***

VASP calculation (GGA-PBE) on a geometry-optimized CuNiSe3 structure.

a b c (Å): 3.6887 5.8869 9.4068
angles (deg): 98.36 101.13 107.61
Closest atoms and distances in Å follow each position.
Space group P-1 (No. 2)
One atom of each set of equivalent atoms:
1 Cu 0.2155 0.3754 0.0557 (multiplicity 2)  4 Se 2.37-2.45, 1 Cu 2.64
2 Ni 0.3069 0.9486 0.6598 (multiplicity 2)  6 Se 2.39-2.47
3 Se 0.1051 0.8060 0.3967 (multiplicity 2)  3 Ni 2.39-2.43
4 Se 0.3017 0.3211 0.3029 (multiplicity 2)  1 Cu 2.37, 2 Ni 2.45-2.47
5 Se 0.4495 0.8203 0.0876 (multiplicity 2)  3 Cu 2.39-2.45, 1 Ni 2.41

## Properties
**Energy above the lowest structure with this stoichiometry**: 0 meV per atom

***

VASP calculation (GGA-PBE) on a geometry-optimized Cu3NiSe structure.

a b c (Å): 4.3965 4.3965 4.3965
angles (deg): 90.00 90.00 90.00
Closest atoms and distances in Å follow each position.
Space group Pm-3m (No. 221)
One atom of each set of equivalent atoms:
1 Cu 0.0000 0.0000 0.5000 (multiplicity 3)  2 Ni 2.20
2 Ni 0.0000 0.0000 0.0000 (multiplicity 1)  6 Cu 2.20
3 Se 0.5000 0.5000 0.5000 (multiplicity 1)  12 Cu 3.11

## Properties
**Energy above the lowest structure with this stoichiometry**: 0 meV per atom

***

VASP calculation (GGA-PBE) on a geometry-optimized CuNi2Se5 structure.

a b c (Å): 9.7469 10.2548 7.1542
angles (deg): 90.00 90.00 90.00
Closest atoms and distances in Å follow each position.
Space group Pnnm (No. 58)
One atom of each set of equivalent atoms:
1 Cu 0.2309 0.2348 0.0000 (multiplicity 4)  4 Se 2.33-2.38
2 Ni 0.0000 0.5000 0.2601 (multiplicity 4)  6 Se 2.38-2.46
3 Ni 0.1266 0.1416 0.5000 (multiplicity 4)  5 Se 2.31-2.46
4 Se 0.0802 0.2771 0.2486 (multiplicity 8)  2 Ni 2.32-2.42, 1 Cu 2.35
5 Se 0.1178 0.9167 0.5000 (multiplicity 4)  2 Ni 2.31-2.46, 1 Cu 2.38
6 Se 0.1361 0.5884 0.0000 (multiplicity 4)  3 Ni 2.38-2.46
7 Se 0.1660 0.5304 0.5000 (multiplicity 4)  1 Cu 2.33, 2 Ni 2.38

***

VASP calculation (GGA-PBE) on a geometry-optimized CuNi4Se structure.

a b c (Å): 6.7095 6.7095 6.7095
angles (deg): 90.00 90.00 90.00
Closest atoms and distances in Å follow each position.
Space group F-43m (No. 216)
One atom of each set of equivalent atoms:
1 Cu 0.0000 0.0000 0.0000 (multiplicity 4)  12 Ni 2.78, 4 Se 2.91
2 Ni 0.1252 0.1252 0.3748 (multiplicity 16)  6 Ni 2.37-2.38
3 Se 0.2500 0.2500 0.7500 (multiplicity 4)  12 Ni 2.78, 4 Cu 2.91

***

VASP calculation (GGA-PBE) on a geometry-optimized Cu2NiSe structure.

a b c (Å): 3.6198 3.6243 3.9969
angles (deg): 90.00 90.08 90.00
Closest atoms and distances in Å follow each position.
Space group P2/m (No. 10)
One atom of each set of equivalent atoms:
1 Cu 0.0000 0.0000 0.0000 (multiplicity 1)  4 Cu 2.56, 4 Se 2.69-2.70, 4 Ni 2.70
2 Cu 0.5000 0.5000 0.0000 (multiplicity 1)  4 Cu 2.56, 4 Ni 2.69-2.70, 4 Se 2.70
3 Ni 0.0000 0.5000 0.5000 (multiplicity 1)  4 Se 2.56, 8 Cu 2.69-2.70
4 Se 0.5000 0.0000 0.5000 (multiplicity 1)  4 Ni 2.56, 8 Cu 2.69-2.70

***

VASP calculation (GGA-PBE) on a geometry-optimized CuNiSe structure.

a b c (Å): 3.5632 4.0478 6.3147
angles (deg): 90.00 90.00 90.00
Closest atoms and distances in Å follow each position.
Space group Pmmn (No. 59, origin choice 2)
One atom of each set of equivalent atoms:
1 Cu 0.2500 0.2500 0.0386 (multiplicity 2)  4 Se 2.50-2.64, 1 Ni 2.71, 4 Cu 2.74
2 Ni 0.2500 0.2500 0.4683 (multiplicity 2)  4 Se 2.38-2.43
3 Se 0.2500 0.7500 0.2708 (multiplicity 2)  4 Ni 2.38-2.43, 4 Cu 2.50-2.64

## Properties
**Energy above the lowest structure with this stoichiometry**: 95 meV per atom

***

no.,DFT total energy (eV for the cell shown),ΔE_f (raw) (meV/atom)
1,-101.2,-144
2,-259.3,-281
3,-42.4,-171
4,-17.6,800
5,-134.2,-58
6,-116.2,276
7,-17.1,88
8,-26.5,43